1.
Here is a geometry-optimized K2CuAgCl5 structure from Alexandria via LeMat-Bulk. Energies are from PBE.

It has space group Cmc2_1 (No. 36), with a = 3.9816 Å, b = 19.6370 Å, c = 12.5460 Å, α = 90.00°, β = 90.00° and γ = 90.00°. The distinct sites, in fractional coordinates, are K at (0.0000, 0.1176, 0.0000), K at (0.0000, 0.1212, 0.3672), Cu at (0.0000, 0.4416, 0.1295), Ag at (0.0000, 0.2187, 0.7200), Cl at (0.0000, 0.0320, 0.7128), Cl at (0.0000, 0.2879, 0.3605), Cl at (0.0000, 0.3268, 0.0893), Cl at (0.0000, 0.3507, 0.6839) and Cl at (0.0000, 0.4913, 0.9655).

The density is 2.891 g/cm3. Its energy relative to the elements, uncorrected is -10.06 eV/f.u. For the density of states at the Fermi level, the calculation gives 7.8 states/eV/f.u.

2.
Here is a geometry-optimized Dy3HoEr6 structure from Alexandria via LeMat-Bulk. Energies are from PBE.

It has space group Cmc2_1 (No. 36), with a = 10.8909 Å, b = 18.7497 Å, c = 6.1208 Å, α = 90.00°, β = 90.00° and γ = 90.00°. The distinct sites, in fractional coordinates, are Dy at (0.0000, 0.1092, 0.0000), Dy at (0.1711, 0.3910, 0.6122), Ho at (0.0000, 0.2920, 0.9189), Er at (0.0000, 0.2167, 0.4269), Er at (0.0000, 0.4520, 0.1497), Er at (0.1643, 0.0471, 0.5360) and Er at (0.2501, 0.2103, 0.7062).

The formation energy comes out at 0.149 eV per atom. The density is 8.800 g/cm3. For the density of states at the Fermi level, the calculation gives 14.5 states/eV/f.u.

3.
Here is a geometry-optimized TiMn2V2 structure from Alexandria via LeMat-Bulk. Energies are from PBE.

It has space group P4/mbm (No. 127), with a = 7.0291 Å, b = 7.0291 Å, c = 2.6729 Å, α = 90.00°, β = 90.00° and γ = 90.00°. The distinct sites, in fractional coordinates, are Ti at (0.0000, 0.0000, 0.0000), Mn at (0.1536, 0.3464, 0.5000) and V at (0.1462, 0.6462, 0.0000).

The formation energy comes out at 0.120 eV per atom. The density is 6.529 g/cm3. For the density of states at the Fermi level, the calculation gives 8.1 states/eV/f.u.

4.
Here is a geometry-optimized FeBi2TeOs structure from Alexandria via LeMat-Bulk. Energies are from PBE.

It has space group P4/mmm (No. 123), with a = 5.2888 Å, b = 5.2888 Å, c = 4.9077 Å, α = 90.00°, β = 90.00° and γ = 90.00°. The distinct sites, in fractional coordinates, are Fe at (0.0000, 0.0000, 0.0000), Bi at (0.0000, 0.5000, 0.5000), Te at (0.5000, 0.5000, 0.0000) and Os at (0.0000, 0.0000, 0.5000).

The density is 9.576 g/cm3. Its energy relative to the elements, uncorrected is 4.00 eV/f.u. For the density of states at the Fermi level, the calculation gives 4.5 states/eV/f.u.